# 1
Here is an optimized crystal structure of PmH3Pd2 from the Alexandria database. Energies are from GGA-PBE.

Computed properties:
DOS(E_F) (states/eV/atom): 0.011
DFT total energy (eV/atom): -4.66
Mass density (g cm⁻³): 8.1
E above lowest polymorph (meV per atom): 0.0

abc: 5.338 5.378 5.379
angles: 89.96 101.99 102.03
Positions (direct):
Pd1 0.021 0.767 0.879
Pd2 0.420 0.133 0.257
Pd3 0.522 0.879 0.767
Pd4 0.920 0.257 0.133
H1 0.702 0.586 0.794
H2 0.354 0.830 0.067
H3 0.762 0.259 0.397
H4 0.202 0.795 0.586
H5 0.262 0.397 0.260
H6 0.854 0.067 0.831
Pm1 0.741 0.709 0.320
Pm2 0.241 0.320 0.710

---

# 2
Here is an optimized crystal structure of Pm2HPd from the Alexandria database. Energies are from GGA-PBE.

Computed properties:
DOS(E_F) (states/eV/atom): 0.768
DFT total energy (eV/atom): -4.98
Mass density (g cm⁻³): 7.3
E above lowest polymorph (meV per atom): 155.8

abc: 3.913 3.913 8.199
angles: 61.54 61.54 60.04
Positions (direct):
Pm1 0.172 0.172 0.304
Pm2 0.205 0.205 0.756
H1 0.428 0.428 0.421
Pd1 0.696 0.696 0.019

---

# 3
Here is an optimized crystal structure of Pm2HPd from the Alexandria database. Energies are from GGA-PBE.

Computed properties:
DOS(E_F) (states/eV/atom): 0.399
DFT total energy (eV/atom): -5.14
Mass density (g cm⁻³): 7.5
E above lowest polymorph (meV per atom): 0.0

abc: 3.854 7.029 7.272
angles: 111.48 105.42 89.96
Positions (direct):
H1 0.445 0.393 0.465
H2 0.216 0.167 0.006
Pm1 0.349 0.048 0.275
Pm2 0.622 0.048 0.819
Pm3 0.311 0.511 0.196
Pm4 0.039 0.511 0.652
Pd1 0.947 0.849 0.468
Pd2 0.714 0.711 0.003

---

# 4
Here is an optimized crystal structure of Pm6HPd3 from the Alexandria database. Energies are from GGA-PBE.

Computed properties:
DOS(E_F) (states/eV/atom): 0.951
DFT total energy (eV/atom): -5.25
Mass density (g cm⁻³): 7.6

abc: 6.708 7.445 10.392
angles: 90.00 92.54 90.00
Positions (direct):
Pm1 0.663 0.458 0.259
Pm2 0.326 0.835 0.067
Pm3 0.826 0.665 0.567
Pm4 0.337 0.542 0.741
Pm5 0.837 0.958 0.241
Pm6 0.845 0.689 0.928
Pm7 0.345 0.811 0.428
Pm8 0.163 0.042 0.759
Pm9 0.174 0.335 0.433
Pm10 0.155 0.311 0.072
Pm11 0.655 0.189 0.572
Pm12 0.674 0.165 0.933
Pd1 0.067 0.618 0.232
Pd2 0.500 0.500 0.000
Pd3 0.933 0.382 0.768
Pd4 0.000 0.000 0.500
Pd5 0.433 0.118 0.268
Pd6 0.567 0.882 0.732
H1 0.000 0.000 0.000
H2 0.500 0.500 0.500

---

# 5
Here is an optimized crystal structure of Pm2H8Pd3 from the Alexandria database. Energies are from GGA-PBE.

Computed properties:
DOS(E_F) (states/eV/atom): 0.268
DFT total energy (eV/atom): -4.34
Mass density (g cm⁻³): 7.4

abc: 4.667 6.302 6.024
angles: 121.54 109.67 90.00
Positions (direct):
H1 0.090 0.625 0.249
H2 0.596 0.692 0.762
H3 0.596 0.071 0.762
H4 0.103 0.909 0.819
H5 0.404 0.929 0.238
H6 0.404 0.308 0.238
H7 0.897 0.091 0.181
H8 0.910 0.375 0.751
Pd1 0.500 0.000 0.000
Pd2 0.000 0.275 0.000
Pd3 0.000 0.725 0.000
Pm1 0.664 0.700 0.401
Pm2 0.336 0.300 0.599

---

# 6
Here is an optimized crystal structure of Pm2HPd4 from the Alexandria database. Energies are from GGA-PBE.

Computed properties:
DOS(E_F) (states/eV/atom): 0.549
DFT total energy (eV/atom): -5.46
Mass density (g cm⁻³): 9.3

abc: 4.142 4.142 8.000
angles: 74.99 74.99 90.00
Positions (direct):
Pd1 0.866 0.866 0.268
Pd2 0.500 0.000 0.000
Pd3 0.000 0.500 0.000
Pd4 0.134 0.134 0.732
Pm1 0.340 0.340 0.321
Pm2 0.660 0.660 0.679
H1 0.000 0.000 0.000